Material: Pa2PdPbO8
Method: DFT, PBE
State: relaxed

Output
E (eV for the cell shown): -92.98
E_form (uncorrected) (eV per formula unit): -25.42
Calculated density (g/cm3): 8.33

Lattice parameters (Å, degrees): 5.607 5.607 6.617 90.00 90.00 120.00
Atoms (fractional coordinates):
Pa 0.333 0.667 0.368
Pa 0.667 0.333 0.632
Pd 0.000 0.000 0.500
Pb 0.000 0.000 0.000
O 0.078 0.343 0.653
O 0.265 0.922 0.653
O 0.333 0.667 0.079
O 0.343 0.265 0.347
O 0.657 0.735 0.653
O 0.667 0.333 0.921
O 0.735 0.078 0.347
O 0.922 0.657 0.347



Material: RbMn2AuCl
Method: DFT, PBE
State: relaxed

Output
E (eV for the cell shown): -21.50
E_form (uncorrected) (eV per formula unit): 2.93
Calculated density (g/cm3): 4.72

Lattice parameters (Å, degrees): 4.627 4.627 7.025 90.00 90.00 90.00
Atoms (fractional coordinates):
Rb 0.000 0.000 0.000
Mn 0.000 0.500 0.500
Mn 0.500 0.000 0.500
Au 0.500 0.500 0.000
Cl 0.500 0.500 0.500



Material: YMgCu
Method: DFT, PBE
State: relaxed

Output
E (eV for the cell shown): -25.52
E above lowest polymorph (eV/atom): 0.017
Calculated density (g/cm3): 4.56
Calculated formation energy (kJ/mol of formula units): -58

Lattice parameters (Å, degrees): 5.406 5.406 5.783 90.00 90.00 130.38
Atoms (fractional coordinates):
Y 0.197 0.803 0.750
Y 0.803 0.197 0.250
Mg 0.500 0.500 0.000
Mg 0.500 0.500 0.500
Cu 0.105 0.895 0.250
Cu 0.895 0.105 0.750



Question: What is the E in the first record?
Answer: -92.98 eV for the cell shown